Below is CsCd2MoF8 after structural relaxation, with properties calculated at the GGA+U level.

Output
Crystal system: triclinic
Uncorrected energy: -0.3268 Ry per atom
Total magnetic moment: 3.00 μB per formula unit

The structure in CIF format:
```
data_CsCd2MoF8
_cell_length_a 5.2640
_cell_length_b 5.5825
_cell_length_c 7.9181
_cell_angle_alpha 79.66
_cell_angle_beta 81.62
_cell_angle_gamma 81.08
_space_group_name_H-M_alt 'P -1'
_space_group_IT_number 2
_space_group_name_Hall '-P 1'
loop_
_atom_site_label
_atom_site_fract_x
_atom_site_fract_y
_atom_site_fract_z
Cs1 0.0000 0.0000 0.0000
Cd1 0.4557 0.4556 0.2350
Mo1 0.0000 0.0000 0.5000
F1 0.1569 0.7411 0.7014
F2 0.2201 0.7900 0.3197
F3 0.2897 0.2294 0.4698
F4 0.3961 0.2989 0.0045
```